Material: RbPt
Method: DFT, GGA-PBEsol
State: optimized geometry

Properties
As for the formation energy: 0.022 eV per atom. The total moment is 0.001 μB per formula unit.

Structure (extended XYZ):
```
4
Lattice="-0.750 -4.142 -1.233 2.675 -3.206 1.343 -4.700 -3.736 7.606" Properties=species:S:1:pos:R:3 pbc="T T T"
Pt 0.642 -2.449 0.037
Pt -3.416 -8.635 7.678
Rb -3.431 -3.430 5.808
Rb 0.657 -7.654 1.907
```

---

Material: Sc2FeMo
Method: DFT, GGA-PBEsol
State: optimized geometry

Properties
As for the formation energy: 0.538 eV per atom. For the energy above the lowest structure with this stoichiometry, the calculation gives 0.514 eV per atom. The total moment is 0.417 μB per formula unit.

Structure (extended XYZ):
```
4
Lattice="2.893 0.000 0.000 1.447 2.506 0.000 1.447 0.835 9.234" Properties=species:S:1:pos:R:3 pbc="T T T"
Sc 4.340 2.506 2.699
Sc 1.447 0.835 6.535
Mo 0.000 0.000 0.000
Fe 2.893 1.670 4.617
```

---

Material: Co2HgBr
Method: DFT, GGA-PBEsol
State: optimized geometry

Properties
Its formation energy (no corrections) is 0.426 eV/atom. For the energy above the lowest structure with this stoichiometry, the calculation gives 0.000 eV per atom. The total moment is 3.243 μB per formula unit.

Structure (extended XYZ):
```
4
Lattice="-2.243 -0.182 2.530 -0.273 -3.341 -0.483 4.696 -0.975 4.093" Properties=species:S:1:pos:R:3 pbc="T T T"
Co 0.387 -1.779 0.215
Co -0.598 -0.200 1.722
Hg 2.075 -0.431 1.808
Br 2.619 -2.567 4.403
```

---

Material: Be2PH
Method: DFT, GGA-PBEsol
State: optimized geometry

Properties
The total moment is 0.000 μB per formula unit. The total energy is -4.433 eV per atom.

Structure (extended XYZ):
```
8
Lattice="3.505 0.000 0.000 0.000 4.574 -0.022 0.000 -2.020 5.394" Properties=species:S:1:pos:R:3 pbc="T T T"
P 0.000 3.867 1.537
P 1.752 1.602 3.817
Be 1.752 3.065 0.520
Be 0.000 0.363 3.413
Be 0.000 2.822 3.402
Be 1.752 0.647 1.745
H 0.000 -0.695 4.427
H 1.752 1.615 0.676
```

---

Material: MoI2Br
Method: DFT, GGA-PBEsol
State: optimized geometry

Properties
Its formation energy (no corrections) is 0.148 eV/atom. The total moment is 2.812 μB per formula unit.

Structure (extended XYZ):
```
8
Lattice="5.336 0.000 0.000 2.668 6.917 0.000 2.668 0.000 6.917" Properties=species:S:1:pos:R:3 pbc="T T T"
I 7.336 0.937 4.396
I 7.336 5.980 2.522
I 6.003 4.396 5.980
I 6.003 2.522 0.937
Mo 6.670 3.459 3.459
Mo 0.000 0.000 0.000
Br 4.002 3.459 3.459
Br 2.668 0.000 0.000
```

---

Material: CsCrSb3
Method: DFT, GGA-PBEsol
State: optimized geometry

Properties
Its formation energy (no corrections) is 1.972 eV/atom. The total moment is 3.956 μB per formula unit.

Structure (extended XYZ):
```
5
Lattice="-5.600 0.473 2.031 -1.693 -4.431 -3.634 1.218 -3.981 4.287" Properties=species:S:1:pos:R:3 pbc="T T T"
Cs 0.000 0.000 0.000
Sb -0.846 -2.216 -1.817
Sb 0.609 -1.990 2.143
Sb -2.800 0.237 1.015
Cr -3.037 -3.969 1.342
```